(1)
MoP2Pb: optimized geometry, PBE-GGA.

a b c (Å): 4.671 4.671 3.360
angles (deg): 90.00 90.00 103.93
Fractional positions:
Pb  0.500  0.000  0.500
P  0.500  0.500  0.000
P  0.000  0.000  0.000
Mo  0.000  0.500  0.500

The total energy is -5.68 eV per atom. The calculation puts the volume at 71 Å³ per cell. Its symmetry is Cmmm, No. 65. Its energy relative to the elements is 656 meV/atom.

(2)
MoP2Pb: optimized geometry, PBE-GGA.

a b c (Å): 4.488 3.654 4.919
angles (deg): 68.31 90.00 90.00
Fractional positions:
Mo  0.500  0.922  0.779
Pb  0.000  0.536  0.553
P  0.500  0.225  0.172
P  0.000  0.818  0.996

The total energy is -6.06 eV per atom. The calculation puts the volume at 75 Å³ per cell. Its symmetry is Pm, No. 6. Its energy relative to the elements is 284 meV/atom.

(3)
Mo2PPb: optimized geometry, PBE-GGA.

a b c (Å): 5.127 5.127 5.127
angles (deg): 142.00 118.06 75.02
Fractional positions:
Pb  0.500  0.000  0.500
Mo  0.800  0.800  0.000
Mo  0.200  0.200  0.000
P  0.000  0.500  0.500

The total energy is -7.40 eV per atom. The calculation puts the volume at 72 Å³ per cell. Its symmetry is Immm, No. 71. Its energy relative to the elements is 300 meV/atom.

(4)
Mo2PPb: optimized geometry, PBE-GGA.

a b c (Å): 4.538 4.538 3.268
angles (deg): 90.00 90.00 90.00
Fractional positions:
Mo  0.500  0.000  0.000
Mo  0.000  0.500  0.000
P  0.500  0.500  0.500
Pb  0.000  0.000  0.500

The total energy is -7.14 eV per atom. The calculation puts the volume at 67 Å³ per cell. Its symmetry is P4/mmm, No. 123. Its energy relative to the elements is 555 meV/atom.